1.
The following is a DFT calculation (PBE-GGA) of a geometry-optimized CsInGaF6 structure.

E in eV/f.u.: -40.48

a = 5.8428 Å, b = 5.8428 Å, c = 6.3151 Å
α = 90.05°, β = 90.05°, γ = 120.12°
Closest atoms and distances in Å follow each position.
Positions (direct):
Cs: 0.0000 0.0000 0.0000  6 F 3.05
In: 0.6665 0.3335 0.5000  6 F 2.32
Ga: 0.3335 0.6665 0.5000  6 F 1.95
F: 0.0453 0.4077 0.3238  1 Ga 1.95
F: 0.0468 0.6377 0.6765  1 Ga 1.95
F: 0.3623 0.9532 0.3235  1 Ga 1.95
F: 0.3636 0.4096 0.6770  1 Ga 1.95
F: 0.5904 0.6364 0.3230  1 Ga 1.95
F: 0.5923 0.9547 0.6762  1 Ga 1.95

2.
The following is a DFT calculation (PBE-GGA) of a geometry-optimized Cs2InGa2F6 structure.

E in eV/f.u.: -45.78

a = 6.4608 Å, b = 6.4608 Å, c = 8.1338 Å
α = 114.89°, β = 114.89°, γ = 62.46°
Closest atoms and distances in Å follow each position.
Positions (direct):
Cs: 0.2145 0.2145 0.1783  3 F 2.89-3.03
Cs: 0.7855 0.7855 0.8217  3 F 2.89-3.03
In: 0.0000 0.0000 0.5000  6 F 2.80
Ga: 0.4351 0.4351 0.8151  3 F 1.93-1.95
Ga: 0.5649 0.5649 0.1849  3 F 1.93-1.95
F: 0.2468 0.6899 0.2245  1 Ga 1.95
F: 0.2742 0.2742 0.5665  1 Ga 1.93
F: 0.3101 0.7532 0.7755  1 Ga 1.95
F: 0.6899 0.2468 0.2245  1 Ga 1.95
F: 0.7258 0.7258 0.4335  1 Ga 1.93
F: 0.7532 0.3101 0.7755  1 Ga 1.95

3.
The following is a DFT calculation (PBE-GGA) of a geometry-optimized Cs2InGaF6 structure.

E in eV/f.u.: -44.43

a = 6.5512 Å, b = 6.5512 Å, c = 6.5512 Å
α = 60.00°, β = 60.00°, γ = 60.00°
Closest atoms and distances in Å follow each position.
Positions (direct):
Cs: 0.2500 0.2500 0.2500  12 F 3.30
Cs: 0.7500 0.7500 0.7500  12 F 3.30
In: 0.0000 0.0000 0.0000  6 F 2.69
Ga: 0.5000 0.5000 0.5000  6 F 1.94
F: 0.2902 0.2902 0.7098  1 Ga 1.94
F: 0.2902 0.7098 0.2902  1 Ga 1.94
F: 0.2902 0.7098 0.7098  1 Ga 1.94
F: 0.7098 0.2902 0.2902  1 Ga 1.94
F: 0.7098 0.2902 0.7098  1 Ga 1.94
F: 0.7098 0.7098 0.2902  1 Ga 1.94

4.
The following is a DFT calculation (PBE-GGA) of a geometry-optimized Cs2KGaF6 structure.

E in eV/f.u.: -45.39

a = 6.4645 Å, b = 6.4645 Å, c = 6.4645 Å
α = 60.00°, β = 60.00°, γ = 60.00°
Closest atoms and distances in Å follow each position.
Positions (direct):
Cs: 0.2500 0.2500 0.2500  12 F 3.25
Cs: 0.7500 0.7500 0.7500  12 F 3.25
K: 0.0000 0.0000 0.0000  6 F 2.63
Ga: 0.5000 0.5000 0.5000  6 F 1.94
F: 0.2876 0.2876 0.7124  1 Ga 1.94
F: 0.2876 0.7124 0.2876  1 Ga 1.94
F: 0.2876 0.7124 0.7124  1 Ga 1.94
F: 0.7124 0.2876 0.2876  1 Ga 1.94
F: 0.7124 0.2876 0.7124  1 Ga 1.94
F: 0.7124 0.7124 0.2876  1 Ga 1.94

5.
The following is a DFT calculation (PBE-GGA) of a geometry-optimized Cs2LiGa3F12 structure.

E in eV/f.u.: -85.22

a = 7.2961 Å, b = 7.2961 Å, c = 7.2961 Å
α = 60.94°, β = 60.94°, γ = 60.94°
Closest atoms and distances in Å follow each position.
Positions (direct):
Cs: 0.1296 0.1296 0.1296  6 F 3.12-3.27
Cs: 0.8704 0.8704 0.8704  6 F 3.12-3.27
Li: 0.5000 0.5000 0.5000  6 F 2.08
Ga: 0.0000 0.5000 0.5000  6 F 1.85-1.97
Ga: 0.5000 0.0000 0.5000  6 F 1.85-1.97
Ga: 0.5000 0.5000 0.0000  6 F 1.85-1.97
F: 0.1642 0.5703 0.5703  1 Ga 1.85
F: 0.1848 0.1848 0.5702  2 Ga 1.97
F: 0.1848 0.5702 0.1848  2 Ga 1.97
F: 0.4297 0.4297 0.8358  1 Ga 1.85
F: 0.4298 0.8152 0.8152  2 Ga 1.97
F: 0.4297 0.8358 0.4297  1 Ga 1.85
F: 0.5703 0.1642 0.5703  1 Ga 1.85
F: 0.5702 0.1848 0.1848  2 Ga 1.97
F: 0.5703 0.5703 0.1642  1 Ga 1.85
F: 0.8152 0.4298 0.8152  2 Ga 1.97
F: 0.8152 0.8152 0.4298  2 Ga 1.97
F: 0.8358 0.4297 0.4297  1 Ga 1.85

6.
The following is a DFT calculation (PBE-GGA) of a geometry-optimized CsLiGa2F8 structure.

E in eV/f.u.: -56.27

a = 8.6982 Å, b = 8.6982 Å, c = 8.6982 Å
α = 35.85°, β = 35.85°, γ = 35.85°
Closest atoms and distances in Å follow each position.
Positions (direct):
Cs: 0.0000 0.0000 0.0000  12 F 3.17-3.49
Li: 0.5000 0.5000 0.5000  6 F 2.06
Ga: 0.2307 0.2307 0.2307  4 F 1.80-1.82
Ga: 0.7693 0.7693 0.7693  4 F 1.80-1.82
F: 0.1243 0.7624 0.4729  1 Ga 1.80
F: 0.2376 0.5271 0.8757  1 Ga 1.80
F: 0.3053 0.3053 0.3053  1 Ga 1.82
F: 0.4729 0.1243 0.7624  1 Ga 1.80
F: 0.5271 0.8757 0.2376  1 Ga 1.80
F: 0.6947 0.6947 0.6947  1 Ga 1.82
F: 0.7624 0.4729 0.1243  1 Ga 1.80
F: 0.8757 0.2376 0.5271  1 Ga 1.80

7.
The following is a DFT calculation (PBE-GGA) of a geometry-optimized Cs2LiGaF6 structure.

E in eV/f.u.: -45.92

a = 6.3594 Å, b = 7.8836 Å, c = 6.8563 Å
α = 90.00°, β = 90.00°, γ = 90.00°
Closest atoms and distances in Å follow each position.
Positions (direct):
Cs: 0.2500 0.0125 0.2151  8 F 2.92-3.23
Cs: 0.2500 0.4875 0.2151  8 F 2.92-3.23
Cs: 0.7500 0.5125 0.7849  8 F 2.92-3.23
Cs: 0.7500 0.9875 0.7849  8 F 2.92-3.23
Li: 0.2500 0.7500 0.6217  4 F 2.00-2.04
Li: 0.7500 0.2500 0.3783  4 F 2.00-2.04
Ga: 0.2500 0.2500 0.7128  6 F 1.91-1.98
Ga: 0.7500 0.7500 0.2872  6 F 1.91-1.98
F: 0.0258 0.2500 0.5170  1 Ga 1.96, 1 Li 2.00
F: 0.0426 0.2500 0.9145  1 Ga 1.91
F: 0.2500 0.5012 0.7056  1 Ga 1.98, 1 Li 2.04
F: 0.2500 0.9988 0.7056  1 Ga 1.98, 1 Li 2.04
F: 0.4574 0.2500 0.9145  1 Ga 1.91
F: 0.4742 0.2500 0.5170  1 Ga 1.96, 1 Li 2.00
F: 0.5258 0.7500 0.4830  1 Ga 1.96, 1 Li 2.00
F: 0.5426 0.7500 0.0855  1 Ga 1.91
F: 0.7500 0.0012 0.2944  1 Ga 1.98, 1 Li 2.04
F: 0.7500 0.4988 0.2944  1 Ga 1.98, 1 Li 2.04
F: 0.9574 0.7500 0.0855  1 Ga 1.91
F: 0.9742 0.7500 0.4830  1 Ga 1.96, 1 Li 2.00

8.
The following is a DFT calculation (PBE-GGA) of a geometry-optimized Cs2LiGaF6 structure.

E in eV/f.u.: -45.72

a = 6.4357 Å, b = 6.4357 Å, c = 6.4357 Å
α = 126.35°, β = 126.35°, γ = 79.31°
Closest atoms and distances in Å follow each position.
Positions (direct):
Cs: 0.2500 0.7500 0.5000  12 F 2.96-3.22
Cs: 0.7500 0.2500 0.5000  12 F 2.96-3.22
Li: 0.0000 0.0000 0.0000  4 F 2.13
Ga: 0.5000 0.5000 0.0000  6 F 1.91-1.98
F: 0.2594 0.2594 0.5187  1 Ga 1.98, 1 Li 2.13
F: 0.2594 0.7406 0.0000  1 Ga 1.98, 1 Li 2.13
F: 0.3071 0.3071 0.0000  1 Ga 1.91
F: 0.6929 0.6929 0.0000  1 Ga 1.91
F: 0.7406 0.2594 0.0000  1 Ga 1.98, 1 Li 2.13
F: 0.7406 0.7406 0.4813  1 Ga 1.98, 1 Li 2.13

9.
The following is a DFT calculation (PBE-GGA) of a geometry-optimized Cs2LiGaF6 structure.

E in eV/f.u.: -46.23

a = 6.3531 Å, b = 6.3531 Å, c = 5.1650 Å
α = 90.00°, β = 90.00°, γ = 120.00°
Closest atoms and distances in Å follow each position.
Positions (direct):
Cs: 0.3333 0.6667 0.2680  12 F 3.20-3.37
Cs: 0.6667 0.3333 0.7320  12 F 3.20-3.37
Li: 0.0000 0.0000 0.5000  6 F 2.07
Ga: 0.0000 0.0000 0.0000  6 F 1.93
F: 0.1385 0.2770 0.7703  1 Ga 1.93, 1 Li 2.07
F: 0.1385 0.8615 0.7703  1 Ga 1.93, 1 Li 2.07
F: 0.2770 0.1385 0.2297  1 Ga 1.93, 1 Li 2.07
F: 0.7230 0.8615 0.7703  1 Ga 1.93, 1 Li 2.07
F: 0.8615 0.1385 0.2297  1 Ga 1.93, 1 Li 2.07
F: 0.8615 0.7230 0.2297  1 Ga 1.93, 1 Li 2.07

10.
The following is a DFT calculation (PBE-GGA) of a geometry-optimized CsMgGaF6 structure.

E in eV/f.u.: -44.20

a = 7.3599 Å, b = 7.3599 Å, c = 7.3599 Å
α = 120.34°, β = 119.57°, γ = 90.08°
Closest atoms and distances in Å follow each position.
Positions (direct):
Cs: 0.3667 0.1167 0.2500  6 F 3.08-3.31
Cs: 0.6333 0.8833 0.7500  6 F 3.08-3.31
Mg: 0.0000 0.0000 0.5000  6 F 1.97-2.03
Mg: 0.0000 0.5000 0.0000  6 F 1.97-2.03
Ga: 0.0000 0.5000 0.5000  6 F 1.90-1.97
Ga: 0.5000 0.5000 0.0000  6 F 1.90-1.97
F: 0.0692 0.4359 0.2614  1 Ga 1.90, 1 Mg 2.03
F: 0.0692 0.8078 0.6333  1 Ga 1.90, 1 Mg 2.03
F: 0.0702 0.8202 0.2500  2 Mg 1.97
F: 0.3146 0.5646 0.7500  2 Ga 1.97
F: 0.3255 0.1922 0.7614  1 Ga 1.90, 1 Mg 2.03
F: 0.3255 0.5641 0.1333  1 Ga 1.90, 1 Mg 2.03
F: 0.6745 0.4359 0.8667  1 Ga 1.90, 1 Mg 2.03
F: 0.6745 0.8078 0.2386  1 Ga 1.90, 1 Mg 2.03
F: 0.6854 0.4354 0.2500  2 Ga 1.97
F: 0.9298 0.1798 0.7500  2 Mg 1.97
F: 0.9308 0.1922 0.3667  1 Ga 1.90, 1 Mg 2.03
F: 0.9308 0.5641 0.7386  1 Ga 1.90, 1 Mg 2.03